Record 1
First-principles (PBE) data for an optimized crystal structure of La2Sb2Te, as listed in Alexandria.

Results
Raw formation energy, eV/atom: -1.107
DOS(E_F), states/eV/f.u.: 2.89
Calculated volume, Å³ per atom: 33.39
SG: P4/mbm (127)
Raw total energy, eV per formula unit: -26.78

a b c (Å): 8.579 8.579 4.537
angles (deg): 90.00 90.00 90.00
Atoms (fractional coordinates):
La 0.177 0.323 0.000
La 0.323 0.823 0.000
La 0.677 0.177 0.000
La 0.823 0.677 0.000
Sb 0.118 0.618 0.500
Sb 0.382 0.118 0.500
Sb 0.618 0.882 0.500
Sb 0.882 0.382 0.500
Te 0.000 0.000 0.000
Te 0.500 0.500 0.000

Record 2
First-principles (PBE) data for an optimized crystal structure of La5Te5S, as listed in Alexandria.

Results
Raw formation energy, eV/atom: -1.665
DOS(E_F), states/eV/f.u.: 4.86
Calculated volume, Å³ per atom: 35.02
SG: C2/m (12)
Raw total energy, eV per formula unit: -62.79

a b c (Å): 7.813 7.813 8.940
angles (deg): 107.04 107.04 48.18
Atoms (fractional coordinates):
La 0.000 0.000 0.000
La 0.344 0.344 0.158
La 0.344 0.344 0.683
La 0.656 0.656 0.317
La 0.656 0.656 0.842
Te 0.162 0.162 0.823
Te 0.172 0.172 0.336
Te 0.500 0.500 0.500
Te 0.828 0.828 0.664
Te 0.838 0.838 0.177
S 0.500 0.500 0.000

Record 3
First-principles (PBE) data for an optimized crystal structure of LaZrIr2, as listed in Alexandria.

Results
DOS(E_F), states/eV/f.u.: 4.24
Calculated volume, Å³ per atom: 25.78
SG: R3m (160)
Raw total energy, eV per formula unit: -31.89

a b c (Å): 7.755 7.755 7.755
angles (deg): 29.97 29.97 29.97
Atoms (fractional coordinates):
La 0.000 0.000 0.000
Zr 0.816 0.816 0.816
Ir 0.262 0.262 0.262
Ir 0.539 0.539 0.539

Record 4
First-principles (PBE) data for an optimized crystal structure of Dy2GaSi4Pd3, as listed in Alexandria.

Results
Raw formation energy, eV/atom: -0.782
DOS(E_F), states/eV/f.u.: 3.30
Calculated volume, Å³ per atom: 17.38
SG: P-4m2 (115)
Raw total energy, eV per formula unit: -57.32

a b c (Å): 4.063 4.063 10.531
angles (deg): 90.00 90.00 90.00
Atoms (fractional coordinates):
Dy 0.000 0.500 0.249
Dy 0.500 0.000 0.751
Ga 0.500 0.500 0.000
Si 0.000 0.000 0.500
Si 0.000 0.500 0.856
Si 0.500 0.000 0.144
Si 0.500 0.500 0.500
Pd 0.000 0.000 0.000
Pd 0.000 0.500 0.630
Pd 0.500 0.000 0.370

Record 5
First-principles (PBE) data for an optimized crystal structure of BaCd2Pt, as listed in Alexandria.

Results
DOS(E_F), states/eV/f.u.: 1.79
Calculated volume, Å³ per atom: 29.85
SG: P2/m (10)
Raw total energy, eV per formula unit: -11.31

a b c (Å): 5.037 4.781 5.199
angles (deg): 90.00 107.54 90.00
Atoms (fractional coordinates):
Ba 0.000 0.000 0.000
Cd 0.328 0.500 0.682
Cd 0.672 0.500 0.318
Pt 0.500 0.000 0.500

Record 6
First-principles (PBE) data for an optimized crystal structure of LiH6N2, as listed in Alexandria.

Results
DOS(E_F), states/eV/f.u.: 0.57
Calculated volume, Å³ per atom: 14.07
SG: C2/c (15)
Raw total energy, eV per formula unit: -41.46

a b c (Å): 8.293 8.293 5.603
angles (deg): 104.72 104.72 126.93
Atoms (fractional coordinates):
Li 0.166 0.834 0.750
Li 0.834 0.166 0.250
H 0.092 0.368 0.041
H 0.189 0.266 0.173
H 0.254 0.498 0.393
H 0.266 0.189 0.673
H 0.368 0.092 0.541
H 0.498 0.254 0.893
H 0.502 0.746 0.107
H 0.632 0.908 0.459
H 0.734 0.811 0.327
H 0.746 0.502 0.607
H 0.811 0.734 0.827
H 0.908 0.632 0.959
N 0.119 0.334 0.204
N 0.334 0.119 0.704
N 0.666 0.881 0.296
N 0.881 0.666 0.796

Record 7
First-principles (PBE) data for an optimized crystal structure of TaAlN3, as listed in Alexandria.

Results
Raw formation energy, eV/atom: 0.432
DOS(E_F), states/eV/f.u.: 3.11
Calculated volume, Å³ per atom: 13.09
SG: Pm-3m (221)
Raw total energy, eV per formula unit: -38.41

a b c (Å): 4.030 4.030 4.030
angles (deg): 90.00 90.00 90.00
Atoms (fractional coordinates):
Ta 0.000 0.000 0.000
Al 0.500 0.500 0.500
N 0.000 0.000 0.500
N 0.000 0.500 0.000
N 0.500 0.000 0.000

Record 8
First-principles (PBE) data for an optimized crystal structure of Sc2Ir2Au, as listed in Alexandria.

Results
DOS(E_F), states/eV/f.u.: 2.71
Calculated volume, Å³ per atom: 17.91
SG: P4/mbm (127)
Raw total energy, eV per formula unit: -37.16

a b c (Å): 7.456 7.456 3.221
angles (deg): 90.00 90.00 90.00
Atoms (fractional coordinates):
Sc 0.163 0.337 0.000
Sc 0.337 0.837 0.000
Sc 0.663 0.163 0.000
Sc 0.837 0.663 0.000
Ir 0.136 0.636 0.500
Ir 0.364 0.136 0.500
Ir 0.636 0.864 0.500
Ir 0.864 0.364 0.500
Au 0.000 0.000 0.500
Au 0.500 0.500 0.500

Record 9
First-principles (PBE) data for an optimized crystal structure of SmTiTlHg, as listed in Alexandria.

Results
DOS(E_F), states/eV/f.u.: 4.31
Calculated volume, Å³ per atom: 24.28
SG: F-43m (216)
Raw total energy, eV per formula unit: -15.70

a b c (Å): 5.160 5.160 5.160
angles (deg): 60.00 60.00 60.00
Atoms (fractional coordinates):
Sm 0.000 0.000 0.000
Ti 0.500 0.500 0.500
Tl 0.750 0.750 0.750
Hg 0.250 0.250 0.250

Record 10
First-principles (PBE) data for an optimized crystal structure of RbPH2S4, as listed in Alexandria.

Results
DOS(E_F), states/eV/f.u.: 0.00
Calculated volume, Å³ per atom: 22.20
SG: I222 (23)
Raw total energy, eV per formula unit: -33.02

a b c (Å): 6.480 6.480 6.480
angles (deg): 134.98 100.78 96.09
Atoms (fractional coordinates):
Rb 0.000 0.000 0.000
P 0.500 0.500 0.000
H 0.361 0.861 0.500
H 0.639 0.139 0.500
S 0.223 0.111 0.616
S 0.496 0.608 0.384
S 0.504 0.889 0.112
S 0.777 0.392 0.888

Record 11
First-principles (PBE) data for an optimized crystal structure of Y2PI, as listed in Alexandria.

Results
Raw formation energy, eV/atom: -1.318
DOS(E_F), states/eV/f.u.: 1.11
Calculated volume, Å³ per atom: 26.75
SG: R3m (160)
Raw total energy, eV per formula unit: -25.16

a b c (Å): 7.834 7.834 7.834
angles (deg): 30.08 30.08 30.08
Atoms (fractional coordinates):
Y 0.000 0.000 0.000
Y 0.208 0.208 0.208
P 0.606 0.606 0.606
I 0.436 0.436 0.436

Record 12
First-principles (PBE) data for an optimized crystal structure of MgGa4Pt2, as listed in Alexandria.

Results
DOS(E_F), states/eV/f.u.: 2.78
Calculated volume, Å³ per atom: 17.41
SG: Pnma (62)
Raw total energy, eV per formula unit: -29.59

a b c (Å): 16.095 4.031 7.514
angles (deg): 90.00 90.00 90.00
Atoms (fractional coordinates):
Mg 0.149 0.250 0.109
Mg 0.351 0.750 0.609
Mg 0.649 0.250 0.391
Mg 0.851 0.750 0.891
Ga 0.032 0.750 0.889
Ga 0.067 0.250 0.493
Ga 0.182 0.750 0.801
Ga 0.194 0.750 0.400
Ga 0.306 0.250 0.900
Ga 0.318 0.250 0.301
Ga 0.433 0.750 0.993
Ga 0.468 0.250 0.389
Ga 0.532 0.750 0.611
Ga 0.567 0.250 0.007
Ga 0.682 0.750 0.699
Ga 0.694 0.750 0.100
Ga 0.806 0.250 0.600
Ga 0.818 0.250 0.199
Ga 0.933 0.750 0.507
Ga 0.968 0.250 0.111
Pt 0.048 0.750 0.263
Pt 0.226 0.250 0.602
Pt 0.274 0.750 0.102
Pt 0.452 0.250 0.763
Pt 0.548 0.750 0.237
Pt 0.726 0.250 0.898
Pt 0.774 0.750 0.398
Pt 0.952 0.250 0.737

Record 13
First-principles (PBE) data for an optimized crystal structure of NiHgW2, as listed in Alexandria.

Results
DOS(E_F), states/eV/f.u.: 4.03
Calculated volume, Å³ per atom: 16.29
SG: R3m (160)
Raw total energy, eV per formula unit: -30.14

a b c (Å): 9.411 9.411 9.411
angles (deg): 17.41 17.41 17.41
Atoms (fractional coordinates):
Ni 0.000 0.000 0.000
Hg 0.251 0.251 0.251
W 0.491 0.491 0.491
W 0.738 0.738 0.738

Record 14
First-principles (PBE) data for an optimized crystal structure of ScSiHg, as listed in Alexandria.

Results
Raw formation energy, eV/atom: 0.036
DOS(E_F), states/eV/f.u.: 2.86
Calculated volume, Å³ per atom: 20.69
SG: P3m1 (156)
Raw total energy, eV per formula unit: -11.95

a b c (Å): 3.252 3.252 6.778
angles (deg): 90.00 90.00 120.00
Atoms (fractional coordinates):
Sc 0.000 0.000 0.000
Si 0.667 0.333 0.309
Hg 0.333 0.667 0.646

Record 15
First-principles (PBE) data for an optimized crystal structure of HgPd2F, as listed in Alexandria.

Results
Raw formation energy, eV/atom: -0.181
DOS(E_F), states/eV/f.u.: 3.45
Calculated volume, Å³ per atom: 17.33
SG: I-42d (122)
Raw total energy, eV per formula unit: -13.28

a b c (Å): 9.888 9.888 9.888
angles (deg): 157.74 157.74 31.69
Atoms (fractional coordinates):
Hg 0.000 0.000 0.000
Hg 0.750 0.250 0.500
Pd 0.134 0.625 0.009
Pd 0.375 0.384 0.509
Pd 0.616 0.125 0.991
Pd 0.875 0.866 0.491
F 0.250 0.750 0.500
F 0.500 0.500 0.000

Record 16
First-principles (PBE) data for an optimized crystal structure of TlSiRh, as listed in Alexandria.

Results
Raw formation energy, eV/atom: -0.080
DOS(E_F), states/eV/f.u.: 1.67
Calculated volume, Å³ per atom: 18.81
SG: I4mm (107)
Raw total energy, eV per formula unit: -15.38

a b c (Å): 6.299 6.299 6.299
angles (deg): 151.59 151.59 40.61
Atoms (fractional coordinates):
Tl 0.000 0.000 0.000
Si 0.705 0.705 0.000
Rh 0.298 0.298 0.000

Record 17
First-principles (PBE) data for an optimized crystal structure of KFe2Ni, as listed in Alexandria.

Results
DOS(E_F), states/eV/f.u.: 3.47
Calculated volume, Å³ per atom: 19.87
SG: C2/m (12)
Raw total energy, eV per formula unit: -21.18

a b c (Å): 4.449 4.449 6.771
angles (deg): 94.70 94.70 36.54
Atoms (fractional coordinates):
K 0.000 0.000 0.000
Fe 0.228 0.228 0.628
Fe 0.772 0.772 0.372
Ni 0.500 0.500 0.500

Record 18
First-principles (PBE) data for an optimized crystal structure of SrP2SCl, as listed in Alexandria.

Results
Raw formation energy, eV/atom: 0.296
DOS(E_F), states/eV/f.u.: 3.50
Calculated volume, Å³ per atom: 22.86
SG: P4/mmm (123)
Raw total energy, eV per formula unit: -16.99

a b c (Å): 4.714 4.714 5.143
angles (deg): 90.00 90.00 90.00
Atoms (fractional coordinates):
Sr 0.000 0.000 0.000
P 0.000 0.500 0.500
P 0.500 0.000 0.500
S 0.500 0.500 0.000
Cl 0.500 0.500 0.500

Record 19
First-principles (PBE) data for an optimized crystal structure of ZrU4O10, as listed in Alexandria.

Results
Raw formation energy, eV/atom: -3.241
DOS(E_F), states/eV/f.u.: 23.63
Calculated volume, Å³ per atom: 12.92
SG: P-1 (2)
Raw total energy, eV per formula unit: -151.90

a b c (Å): 3.798 6.572 15.678
angles (deg): 86.00 83.04 90.00
Atoms (fractional coordinates):
Zr 0.099 0.200 0.302
Zr 0.901 0.800 0.698
U 0.000 0.500 0.500
U 0.200 0.901 0.101
U 0.301 0.601 0.898
U 0.399 0.300 0.701
U 0.500 0.000 0.500
U 0.601 0.700 0.299
U 0.699 0.399 0.102
U 0.800 0.099 0.899
O 0.026 0.173 0.447
O 0.075 0.515 0.348
O 0.124 0.881 0.254
O 0.172 0.224 0.156
O 0.224 0.574 0.051
O 0.275 0.924 0.950
O 0.326 0.275 0.848
O 0.376 0.630 0.747
O 0.424 0.965 0.652
O 0.475 0.323 0.551
O 0.525 0.677 0.449
O 0.576 0.035 0.348
O 0.624 0.370 0.253
O 0.674 0.725 0.152
O 0.725 0.076 0.050
O 0.776 0.426 0.949
O 0.828 0.776 0.844
O 0.876 0.119 0.746
O 0.925 0.485 0.652
O 0.974 0.827 0.553

Record 20
First-principles (PBE) data for an optimized crystal structure of FeMo2P, as listed in Alexandria.

Results
DOS(E_F), states/eV/f.u.: 4.84
Calculated volume, Å³ per atom: 13.34
SG: P4mm (99)
Raw total energy, eV per formula unit: -35.67

a b c (Å): 2.767 2.767 6.971
angles (deg): 90.00 90.00 90.00
Atoms (fractional coordinates):
Fe 0.000 0.000 0.000
Mo 0.000 0.000 0.580
Mo 0.500 0.500 0.272
P 0.500 0.500 0.833

Record 21
First-principles (PBE) data for an optimized crystal structure of Pu2U3PaP6, as listed in Alexandria.

Results
DOS(E_F), states/eV/f.u.: 32.17
Calculated volume, Å³ per atom: 21.85
SG: C2/m (12)
Raw total energy, eV per formula unit: -117.59

a b c (Å): 6.798 6.798 6.933
angles (deg): 99.40 99.40 120.01
Atoms (fractional coordinates):
Pu 0.167 0.833 0.000
Pu 0.833 0.167 0.000
U 0.000 0.000 0.500
U 0.333 0.667 0.500
U 0.667 0.333 0.500
Pa 0.500 0.500 0.000
P 0.083 0.415 0.746
P 0.253 0.253 0.254
P 0.415 0.083 0.746
P 0.585 0.917 0.254
P 0.747 0.747 0.746
P 0.917 0.585 0.254

Record 22
First-principles (PBE) data for an optimized crystal structure of Ba2Cu3Cl10, as listed in Alexandria.

Results
Raw formation energy, eV/atom: -1.250
DOS(E_F), states/eV/f.u.: 6.22
Calculated volume, Å³ per atom: 23.85
SG: C2/m (12)
Raw total energy, eV per formula unit: -53.35

a b c (Å): 12.134 12.134 9.551
angles (deg): 108.95 108.95 32.74
Atoms (fractional coordinates):
Ba 0.120 0.120 0.247
Ba 0.231 0.231 0.808
Ba 0.769 0.769 0.192
Ba 0.880 0.880 0.753
Cu 0.247 0.753 0.500
Cu 0.319 0.319 0.466
Cu 0.429 0.429 0.040
Cu 0.571 0.571 0.960
Cu 0.681 0.681 0.534
Cu 0.753 0.247 0.500
Cl 0.000 0.500 0.500
Cl 0.009 0.009 0.675
Cl 0.113 0.604 0.029
Cl 0.115 0.641 0.441
Cl 0.256 0.256 0.201
Cl 0.269 0.731 0.000
Cl 0.359 0.885 0.559
Cl 0.364 0.364 0.733
Cl 0.396 0.887 0.971
Cl 0.487 0.487 0.328
Cl 0.500 0.000 0.500
Cl 0.513 0.513 0.672
Cl 0.604 0.113 0.029
Cl 0.636 0.636 0.267
Cl 0.641 0.115 0.441
Cl 0.731 0.269 0.000
Cl 0.744 0.744 0.799
Cl 0.885 0.359 0.559
Cl 0.887 0.396 0.971
Cl 0.991 0.991 0.325

Record 23
First-principles (PBE) data for an optimized crystal structure of La2Pr2Th, as listed in Alexandria.

Results
DOS(E_F), states/eV/f.u.: 8.39
Calculated volume, Å³ per atom: 36.10
SG: I4/mmm (139)
Raw total energy, eV per formula unit: -24.89

a b c (Å): 8.762 8.762 8.762
angles (deg): 148.75 148.75 44.78
Atoms (fractional coordinates):
La 0.094 0.094 0.000
La 0.906 0.906 0.000
Pr 0.250 0.750 0.500
Pr 0.750 0.250 0.500
Th 0.500 0.500 0.000